The following is a GGA-PBE calculation of PuGaSi after structural relaxation, from the Alexandria database.

abc: 4.1607 4.1607 7.9923
angles: 90.00 90.00 119.99
Closest atoms and distances in Å follow each position.
Fractional coordinates of all 6 atoms:
Pu (0.0000, 0.5000, 0.5000)  6 Si 3.12, 6 Ga 3.12
Pu (0.0000, 0.5000, 0.0000)  6 Si 3.12, 6 Ga 3.12
Ga (0.6666, 0.8334, 0.7500)  3 Si 2.40
Ga (0.3334, 0.1666, 0.2500)  3 Si 2.40
Si (0.3332, 0.1668, 0.7500)  3 Ga 2.40
Si (0.6668, 0.8332, 0.2500)  3 Ga 2.40

Values from the calculation:
crystal system: hexagonal
raw total energy: -7.98 eV/atom
uncorrected formation energy: -384 meV per atom

The following is a GGA-PBE calculation of Bi4C after structural relaxation, from the Alexandria database.

abc: 5.1029 5.1029 5.1029
angles: 90.00 90.00 90.00
Closest atoms and distances in Å follow each position.
Fractional coordinates of all 5 atoms:
C (0.5000, 0.5000, 0.5000)  6 Bi 2.55
Bi (0.0000, 0.0000, 0.0000)  12 Bi 3.61
Bi (0.5000, 0.0000, 0.5000)  2 C 2.55
Bi (0.0000, 0.5000, 0.5000)  2 C 2.55
Bi (0.5000, 0.5000, 0.0000)  2 C 2.55

Values from the calculation:
crystal system: cubic
formation energy: 0.871 eV/atom
raw total energy: -4.08 eV/atom

Look up the raw total energy of the first one. -7.98 eV/atom

Among the records above, which one has the highest raw total energy? Bi4C

Among the records above, which one has the lowest raw total energy? PuGaSi